# NaCaHPb2

NaCaHPb2 after structural relaxation (PBE, Alexandria).

The calculation puts the spin magnetization at 0.0 μB per cell. The crystal system is tetragonal. Its density of states at the Fermi level is 0.37 states/eV/atom. The calculation puts the total DFT energy (no corrections) at -14.81 eV/cell.

The space group is P4/mmm (No. 123) and the conventional cell measures 5.068, 5.068 and 4.704 Å, with angles of 90.00, 90.00 and 90.00 degrees. The distinct sites, in fractional coordinates, are Na at (0.000, 0.000, 0.000), Ca at (0.500, 0.500, 0.000), H at (0.500, 0.500, 0.500) and Pb at (0.000, 0.500, 0.500).